VASP calculation (GGA-PBE) on a relaxed KMgPdCl6 crystal.

Properties
- formation energy (no corrections) (eV per atom) = -1.226

Structure (POSCAR):
```
KMgPdCl6
1.0
6.371 0.000 0.000
-2.948 5.650 0.000
-0.123 -0.197 7.063
K Mg Pd Cl
1 1 1 6
Direct
0.000 0.000 0.000
0.328 0.674 0.500
0.668 0.333 0.500
0.005 0.627 0.283
0.373 0.996 0.717
0.378 0.361 0.306
0.640 0.622 0.694
0.642 0.010 0.311
0.990 0.358 0.689
```

VASP calculation (GGA-PBE) on a relaxed KPmMg2Cl8 crystal.

Properties
- N(E_F) (states/eV/cell) = 0.00
- formation energy (no corrections) (eV per atom) = -1.968

Structure (POSCAR):
```
KPmMg2Cl8
1.0
6.503 0.000 0.000
1.116 6.415 0.000
1.470 1.308 8.711
K Pm Mg Cl
1 1 2 8
Direct
0.000 0.000 0.000
0.000 0.000 0.500
0.459 0.455 0.209
0.541 0.545 0.791
0.198 0.747 0.731
0.233 0.783 0.276
0.290 0.266 0.449
0.342 0.320 0.008
0.658 0.680 0.992
0.710 0.734 0.551
0.767 0.217 0.724
0.802 0.253 0.269
```

VASP calculation (GGA-PBE) on a relaxed KMgPt2Cl crystal.

Properties
- N(E_F) (states/eV/cell) = 0.98
- formation energy (no corrections) (eV per atom) = 1.433

Structure (POSCAR):
```
KMgPt2Cl
1.0
4.967 0.000 0.000
0.000 4.967 0.000
0.000 0.000 6.164
K Mg Pt Cl
1 1 2 1
Direct
0.000 0.000 0.000
0.000 0.000 0.500
0.000 0.500 0.000
0.500 0.000 0.000
0.500 0.500 0.500
```

VASP calculation (GGA-PBE) on a relaxed KPuMg2Cl8 crystal.

Properties
- N(E_F) (states/eV/cell) = 9.22
- formation energy (no corrections) (eV per atom) = -1.839

Structure (POSCAR):
```
KPuMg2Cl8
1.0
6.439 0.000 0.000
1.118 6.459 0.000
1.404 1.339 8.701
K Pu Mg Cl
1 1 2 8
Direct
0.000 0.000 0.000
0.000 0.000 0.500
0.461 0.454 0.209
0.539 0.546 0.791
0.186 0.731 0.733
0.220 0.769 0.281
0.301 0.253 0.449
0.355 0.309 0.008
0.645 0.691 0.992
0.699 0.747 0.551
0.780 0.231 0.719
0.814 0.269 0.267
```

VASP calculation (GGA-PBE) on a relaxed KRb3Mg2Cl8 crystal.

Properties
- N(E_F) (states/eV/cell) = 0.00
- formation energy (no corrections) (eV per atom) = -1.894

Structure (POSCAR):
```
KRb3Mg2Cl8
1.0
7.761 0.000 0.000
-3.881 6.721 0.000
0.000 0.000 9.445
K Rb Mg Cl
1 3 2 8
Direct
0.000 0.000 0.000
0.000 0.000 0.500
0.333 0.667 0.119
0.667 0.333 0.881
0.333 0.667 0.697
0.667 0.333 0.303
0.174 0.348 0.800
0.174 0.826 0.800
0.333 0.667 0.453
0.348 0.174 0.200
0.652 0.826 0.800
0.667 0.333 0.547
0.826 0.174 0.200
0.826 0.652 0.200
```

VASP calculation (GGA-PBE) on a relaxed KRb2MgCl crystal.

Properties
- N(E_F) (states/eV/cell) = 3.69
- formation energy (no corrections) (eV per atom) = -0.588

Structure (POSCAR):
```
KRb2MgCl
1.0
6.477 0.000 0.000
0.000 6.477 0.000
0.000 0.000 6.182
K Rb Mg Cl
1 2 1 1
Direct
0.000 0.000 0.000
0.000 0.500 0.500
0.500 0.000 0.500
0.500 0.500 0.000
0.000 0.000 0.500
```

VASP calculation (GGA-PBE) on a relaxed KRb2MgCl5 crystal.

Properties
- N(E_F) (states/eV/cell) = 0.00
- formation energy (no corrections) (eV per atom) = -1.904

Structure (POSCAR):
```
KRb2MgCl5
1.0
-2.480 3.696 7.741
2.480 -3.696 7.741
2.480 3.696 -7.741
K Rb Mg Cl
1 2 1 5
Direct
0.000 0.000 0.000
0.291 0.791 0.500
0.709 0.209 0.500
0.500 0.500 0.000
0.139 0.383 0.756
0.373 0.617 0.756
0.500 0.000 0.500
0.627 0.383 0.244
0.861 0.617 0.244
```

VASP calculation (GGA-PBE) on a relaxed K2RbMgCl5 crystal.

Properties
- N(E_F) (states/eV/cell) = 0.00
- formation energy (no corrections) (eV per atom) = -1.926

Structure (POSCAR):
```
K2RbMgCl5
1.0
-2.476 3.702 7.413
2.476 -3.702 7.413
2.476 3.702 -7.413
K Rb Mg Cl
2 1 1 5
Direct
0.209 0.209 0.000
0.791 0.791 0.000
0.500 0.000 0.500
0.000 0.500 0.500
0.000 0.000 0.000
0.116 0.376 0.740
0.363 0.624 0.740
0.637 0.376 0.260
0.884 0.624 0.260
```

VASP calculation (GGA-PBE) on a relaxed K2RbMg2Cl7 crystal.

Properties
- N(E_F) (states/eV/cell) = 0.00
- formation energy (no corrections) (eV per atom) = -1.914

Structure (POSCAR):
```
K2RbMg2Cl7
1.0
-2.521 2.521 12.887
2.521 -2.521 12.887
2.521 2.521 -12.887
K Rb Mg Cl
2 1 2 7
Direct
0.183 0.183 0.000
0.817 0.817 0.000
0.000 0.000 0.000
0.400 0.400 0.000
0.600 0.600 0.000
0.097 0.597 0.500
0.304 0.304 0.000
0.403 0.903 0.500
0.500 0.500 0.000
0.597 0.097 0.500
0.696 0.696 0.000
0.903 0.403 0.500
```

VASP calculation (GGA-PBE) on a relaxed KMg2ReCl crystal.

Properties
- N(E_F) (states/eV/cell) = 2.26
- formation energy (no corrections) (eV per atom) = 1.418

Structure (POSCAR):
```
KMg2ReCl
1.0
6.613 0.000 0.000
0.000 6.613 0.000
0.000 0.000 5.446
K Mg Re Cl
1 2 1 1
Direct
0.000 0.000 0.000
0.000 0.500 0.000
0.500 0.000 0.000
0.500 0.500 0.500
0.000 0.000 0.500
```

VASP calculation (GGA-PBE) on a relaxed K2MgReCl crystal.

Properties
- N(E_F) (states/eV/cell) = 4.11
- formation energy (no corrections) (eV per atom) = 0.677

Structure (POSCAR):
```
K2MgReCl
1.0
6.082 0.000 0.000
0.000 6.082 0.000
0.000 0.000 4.447
K Mg Re Cl
2 1 1 1
Direct
0.000 0.500 0.000
0.500 0.000 0.000
0.000 0.000 0.500
0.500 0.500 0.500
0.500 0.500 0.000
```

VASP calculation (GGA-PBE) on a relaxed KMgRhCl6 crystal.

Properties
- N(E_F) (states/eV/cell) = 0.00
- formation energy (no corrections) (eV per atom) = -1.339

Structure (POSCAR):
```
KMgRhCl6
1.0
6.353 0.000 0.000
-3.177 5.502 0.000
0.000 0.000 7.056
K Mg Rh Cl
1 1 1 6
Direct
0.000 0.000 0.000
0.667 0.333 0.500
0.333 0.667 0.500
0.017 0.374 0.694
0.017 0.643 0.306
0.357 0.374 0.306
0.357 0.983 0.694
0.626 0.643 0.694
0.626 0.983 0.306
```

VASP calculation (GGA-PBE) on a relaxed KMgRuCl6 crystal.

Properties
- N(E_F) (states/eV/cell) = 9.20
- formation energy (no corrections) (eV per atom) = -1.277

Structure (POSCAR):
```
KMgRuCl6
1.0
6.380 0.000 0.000
-3.190 5.525 0.000
0.000 0.000 7.072
K Mg Ru Cl
1 1 1 6
Direct
0.000 0.000 0.000
0.667 0.333 0.500
0.333 0.667 0.500
0.016 0.374 0.694
0.016 0.642 0.306
0.358 0.374 0.306
0.358 0.984 0.694
0.626 0.642 0.694
0.626 0.984 0.306
```

VASP calculation (GGA-PBE) on a relaxed KMgSCl2 crystal.

Properties
- N(E_F) (states/eV/cell) = 3.57
- formation energy (no corrections) (eV per atom) = -1.307
- E above lowest polymorph (eV/atom) = 0.0000

Structure (POSCAR):
```
KMgSCl2
1.0
5.095 0.000 0.000
0.000 5.095 0.000
0.000 0.000 4.973
K Mg S Cl
1 1 1 2
Direct
0.000 0.000 0.000
0.500 0.500 0.500
0.500 0.500 0.000
0.000 0.500 0.500
0.500 0.000 0.500
```

VASP calculation (GGA-PBE) on a relaxed KMgSCl2 crystal.

Properties
- N(E_F) (states/eV/cell) = 4.02
- formation energy (no corrections) (eV per atom) = -0.143
- E above lowest polymorph (eV/atom) = 1.1643

Structure (POSCAR):
```
KMgSCl2
1.0
5.472 0.000 0.000
0.000 5.472 0.000
0.000 0.000 5.634
K Mg S Cl
1 1 1 2
Direct
0.000 0.000 0.000
0.500 0.500 0.500
0.000 0.000 0.500
0.000 0.500 0.000
0.500 0.000 0.000
```

VASP calculation (GGA-PBE) on a relaxed K2MgSbCl6 crystal.

Properties
- formation energy (no corrections) (eV per atom) = -1.420

Structure (POSCAR):
```
K2MgSbCl6
1.0
5.209 -5.209 0.000
5.209 5.209 0.000
-5.185 0.000 5.749
K Mg Sb Cl
2 1 1 6
Direct
0.250 0.750 0.000
0.750 0.250 0.000
0.000 0.000 0.500
0.500 0.500 0.500
0.210 0.210 0.922
0.245 0.245 0.499
0.246 0.754 0.500
0.754 0.246 0.500
0.755 0.755 0.501
0.790 0.790 0.078
```

VASP calculation (GGA-PBE) on a relaxed KMgScCl6 crystal.

Properties
- N(E_F) (states/eV/cell) = 0.00
- formation energy (no corrections) (eV per atom) = -2.026

Structure (POSCAR):
```
KMgScCl6
1.0
6.566 0.000 0.000
-3.283 5.686 0.000
0.000 0.000 13.948
K Mg Sc Cl
2 2 2 12
Direct
0.000 0.000 0.000
0.000 0.000 0.500
0.333 0.667 0.250
0.667 0.333 0.750
0.333 0.667 0.750
0.667 0.333 0.250
0.002 0.375 0.647
0.002 0.627 0.853
0.373 0.375 0.853
0.373 0.998 0.647
0.375 0.002 0.147
0.375 0.373 0.353
0.625 0.627 0.647
0.625 0.998 0.853
0.627 0.002 0.353
0.627 0.625 0.147
0.998 0.373 0.147
0.998 0.625 0.353
```

VASP calculation (GGA-PBE) on a relaxed K2MgScCl6 crystal.

Properties
- N(E_F) (states/eV/cell) = 6.04
- formation energy (no corrections) (eV per atom) = -1.845

Structure (POSCAR):
```
K2MgScCl6
1.0
3.598 2.077 5.903
-3.598 2.077 5.903
0.000 -4.154 5.903
K Mg Sc Cl
2 1 1 6
Direct
0.249 0.249 0.249
0.751 0.751 0.751
0.000 0.000 0.000
0.500 0.500 0.500
0.246 0.246 0.754
0.246 0.754 0.246
0.246 0.754 0.754
0.754 0.246 0.246
0.754 0.246 0.754
0.754 0.754 0.246
```

VASP calculation (GGA-PBE) on a relaxed KSmMgCl6 crystal.

Properties
- N(E_F) (states/eV/cell) = 0.00
- formation energy (no corrections) (eV per atom) = -2.089

Structure (POSCAR):
```
KSmMgCl6
1.0
6.875 0.000 0.000
-3.438 5.954 0.000
0.000 0.000 13.736
K Sm Mg Cl
2 2 2 12
Direct
0.000 0.000 0.000
0.000 0.000 0.500
0.333 0.667 0.250
0.667 0.333 0.750
0.333 0.667 0.750
0.667 0.333 0.250
0.020 0.381 0.642
0.020 0.638 0.858
0.362 0.381 0.858
0.362 0.980 0.642
0.381 0.020 0.142
0.381 0.362 0.358
0.619 0.638 0.642
0.619 0.980 0.858
0.638 0.020 0.358
0.638 0.619 0.142
0.980 0.362 0.142
0.980 0.619 0.358
```

VASP calculation (GGA-PBE) on a relaxed KMgSnCl5 crystal.

Properties
- N(E_F) (states/eV/cell) = 0.00
- formation energy (no corrections) (eV per atom) = -1.524

Structure (POSCAR):
```
KMgSnCl5
1.0
4.893 -5.578 0.000
4.893 5.578 0.000
-4.196 0.000 9.169
K Mg Sn Cl
2 2 2 10
Direct
0.078 0.922 0.750
0.922 0.078 0.250
0.000 0.500 0.000
0.500 0.000 0.500
0.498 0.502 0.250
0.502 0.498 0.750
0.155 0.244 0.058
0.230 0.770 0.250
0.244 0.155 0.558
0.257 0.605 0.897
0.395 0.743 0.603
0.605 0.257 0.397
0.743 0.395 0.103
0.756 0.845 0.442
0.770 0.230 0.750
0.845 0.756 0.942
```